[1]
First-principles (PBE) data for a geometry-optimized YAs2Rh structure, as listed in Alexandria via LeMat-Bulk.

a = 9.0095 Å, b = 9.0095 Å, c = 9.0095 Å
α = 150.71°, β = 150.71°, γ = 41.91°
Atoms (fractional coordinates):
Y1 0.0000 0.0000 0.0000
Y2 0.7500 0.2500 0.5000
As1 0.2248 0.6250 0.0998
As2 0.3750 0.4748 0.5998
As3 0.5252 0.1250 0.9002
As4 0.8750 0.7752 0.4002
Rh1 0.2500 0.7500 0.5000
Rh2 0.5000 0.5000 0.0000

Properties
- E_form (eV per atom) = -0.57
- crystal system = tetragonal
- E (eV per atom) = -6.35
- D(E_F) (states/eV/atom) = 0.0279

=====

[2]
First-principles (PBE) data for a geometry-optimized YAsRh2 structure, as listed in Alexandria via LeMat-Bulk.

a = 4.1512 Å, b = 4.1512 Å, c = 4.3381 Å
α = 90.00°, β = 90.00°, γ = 90.00°
Atoms (fractional coordinates):
Y1 0.0000 0.0000 0.0000
As1 0.5000 0.5000 0.2287
Rh1 0.0000 0.5000 0.5255
Rh2 0.5000 0.0000 0.5255

Properties
- E_form (eV per atom) = -0.73
- crystal system = tetragonal
- E (eV per atom) = -7.19
- D(E_F) (states/eV/atom) = 0.4174

=====

[3]
First-principles (PBE) data for a geometry-optimized Y4AsRh structure, as listed in Alexandria via LeMat-Bulk.

a = 6.0296 Å, b = 6.0296 Å, c = 6.0296 Å
α = 60.00°, β = 60.00°, γ = 60.00°
Atoms (fractional coordinates):
Y1 0.1254 0.1254 0.1254
Y2 0.1254 0.1254 0.6239
Y3 0.1254 0.6239 0.1254
Y4 0.6239 0.1254 0.1254
As1 0.7500 0.7500 0.7500
Rh1 0.5000 0.5000 0.5000

Properties
- E_form (eV per atom) = 0.45
- crystal system = cubic
- E (eV per atom) = -5.86
- D(E_F) (states/eV/atom) = 1.4212

=====

[4]
First-principles (PBE) data for a geometry-optimized YAsRh2 structure, as listed in Alexandria via LeMat-Bulk.

a = 5.3436 Å, b = 5.3436 Å, c = 3.1596 Å
α = 106.23°, β = 106.23°, γ = 113.54°
Atoms (fractional coordinates):
Y1 0.0000 0.0000 0.0000
As1 0.5000 0.5000 0.0000
Rh1 0.0000 0.5000 0.5000
Rh2 0.5000 0.0000 0.5000

Properties
- E_form (eV per atom) = -0.39
- crystal system = monoclinic
- E (eV per atom) = -6.84
- D(E_F) (states/eV/atom) = 0.8845

=====

[5]
First-principles (PBE) data for a geometry-optimized Y3As2Rh7 structure, as listed in Alexandria via LeMat-Bulk.

a = 14.0273 Å, b = 14.0273 Å, c = 4.0108 Å
α = 90.00°, β = 90.00°, γ = 163.09°
Atoms (fractional coordinates):
Y1 0.0000 0.0000 0.0000
Y2 0.2023 0.7977 0.0000
Y3 0.7977 0.2023 0.0000
As1 0.4147 0.5853 0.5000
As2 0.5853 0.4147 0.5000
Rh1 0.1297 0.8703 0.5000
Rh2 0.2902 0.7098 0.5000
Rh3 0.3681 0.6319 0.0000
Rh4 0.5000 0.5000 0.5000
Rh5 0.6319 0.3681 0.0000
Rh6 0.7098 0.2902 0.5000
Rh7 0.8703 0.1297 0.5000

Properties
- E_form (eV per atom) = -0.59
- crystal system = orthorhombic
- E (eV per atom) = -7.27
- D(E_F) (states/eV/atom) = 0.4968

=====

[6]
First-principles (PBE) data for a geometry-optimized YAs2Rh structure, as listed in Alexandria via LeMat-Bulk.

a = 3.4637 Å, b = 3.4637 Å, c = 6.7829 Å
α = 90.00°, β = 90.00°, γ = 106.59°
Atoms (fractional coordinates):
Y1 0.0000 0.0000 0.0000
As1 0.5000 0.5000 0.2868
As2 0.5000 0.5000 0.7132
Rh1 0.0000 0.0000 0.5000

Properties
- E_form (eV per atom) = -0.51
- crystal system = orthorhombic
- E (eV per atom) = -6.29
- D(E_F) (states/eV/atom) = 0.9859

=====

[7]
First-principles (PBE) data for a geometry-optimized Yb4As6Rh7 structure, as listed in Alexandria via LeMat-Bulk.

a = 7.2708 Å, b = 7.2708 Å, c = 7.2708 Å
α = 109.47°, β = 109.47°, γ = 109.47°
Atoms (fractional coordinates):
Yb1 0.0000 0.0000 0.5000
Yb2 0.0000 0.5000 0.0000
Yb3 0.5000 0.0000 0.0000
Yb4 0.5000 0.5000 0.5000
As1 0.0000 0.3198 0.3198
As2 0.0000 0.6802 0.6802
As3 0.3198 0.0000 0.3198
As4 0.3198 0.3198 0.0000
As5 0.6802 0.0000 0.6802
As6 0.6802 0.6802 0.0000
Rh1 0.0000 0.0000 0.0000
Rh2 0.2500 0.5000 0.7500
Rh3 0.2500 0.7500 0.5000
Rh4 0.5000 0.2500 0.7500
Rh5 0.5000 0.7500 0.2500
Rh6 0.7500 0.2500 0.5000
Rh7 0.7500 0.5000 0.2500

Properties
- E_form (eV per atom) = -0.89
- crystal system = cubic
- E (eV per atom) = -5.92
- D(E_F) (states/eV/atom) = 3.8830

=====

[8]
First-principles (PBE) data for a geometry-optimized YbAs4Rh6 structure, as listed in Alexandria via LeMat-Bulk.

a = 7.2854 Å, b = 7.2854 Å, c = 3.8046 Å
α = 90.00°, β = 90.00°, γ = 120.00°
Atoms (fractional coordinates):
Yb1 0.0000 0.0000 0.0000
As1 0.3333 0.6667 0.0000
As2 0.3768 0.1884 0.5000
As3 0.8116 0.1884 0.5000
As4 0.8116 0.6232 0.5000
Rh1 0.1995 0.3990 0.5000
Rh2 0.1995 0.8005 0.5000
Rh3 0.5349 0.0698 0.0000
Rh4 0.5349 0.4651 0.0000
Rh5 0.6010 0.8005 0.5000
Rh6 0.9302 0.4651 0.0000

Properties
- E_form (eV per atom) = -0.67
- crystal system = hexagonal
- E (eV per atom) = -6.51
- D(E_F) (states/eV/atom) = 1.5950

=====

Please write out number 8 again, unchanged.
First-principles (PBE) data for a geometry-optimized YbAs4Rh6 structure, as listed in Alexandria via LeMat-Bulk.

a = 7.2854 Å, b = 7.2854 Å, c = 3.8046 Å
α = 90.00°, β = 90.00°, γ = 120.00°
Atoms (fractional coordinates):
Yb1 0.0000 0.0000 0.0000
As1 0.3333 0.6667 0.0000
As2 0.3768 0.1884 0.5000
As3 0.8116 0.1884 0.5000
As4 0.8116 0.6232 0.5000
Rh1 0.1995 0.3990 0.5000
Rh2 0.1995 0.8005 0.5000
Rh3 0.5349 0.0698 0.0000
Rh4 0.5349 0.4651 0.0000
Rh5 0.6010 0.8005 0.5000
Rh6 0.9302 0.4651 0.0000

Properties
- E_form (eV per atom) = -0.67
- crystal system = hexagonal
- E (eV per atom) = -6.51
- D(E_F) (states/eV/atom) = 1.5950